No. 1
VF3 at its PBEsol-relaxed geometry. Source: Alexandria, functional meta-GGA SCAN.

Summary:
formation energy from raw total energies: -3.23 eV per atom
E_tot: -246.1 eV/cell
DOS(E_F): 0.17 states/eV/atom
mass density: 3.6 g/cm³

Structure (CIF):
```
data_VF3
_cell_length_a 5.0747
_cell_length_b 5.0747
_cell_length_c 13.4012
_cell_angle_alpha 90.00
_cell_angle_beta 90.00
_cell_angle_gamma 120.00
_space_group_name_H-M_alt 'R -3 c'
_space_group_IT_number 167
_space_group_name_Hall '-R 3 2"c'
loop_
_atom_site_label
_atom_site_type_symbol
_atom_site_fract_x
_atom_site_fract_y
_atom_site_fract_z
V1 V 0.0000 0.0000 0.0000
F1 F 0.0000 0.3912 0.2500
```

---

No. 2
Cd2PtAu at its PBEsol-relaxed geometry. Source: Alexandria, functional meta-GGA SCAN.

Summary:
E_tot: -201.0 eV/cell
DOS(E_F): 0.30 states/eV/atom
DFT formation energy: -0.194 eV/atom
mass density: 14.6 g/cm³

Structure (CIF):
```
data_Cd2PtAu
_cell_length_a 2.9181
_cell_length_b 4.1934
_cell_length_c 5.7175
_cell_angle_alpha 90.00
_cell_angle_beta 90.00
_cell_angle_gamma 90.00
_space_group_name_H-M_alt 'P m m 2'
_space_group_IT_number 25
loop_
_space_group_symop_operation_xyz
'x,y,z'
'-x,-y,z'
'-x,y,z'
'x,-y,z'
loop_
_atom_site_label
_atom_site_type_symbol
_atom_site_fract_x
_atom_site_fract_y
_atom_site_fract_z
Cd1 Cd 0.0000 0.0000 0.0000
Cd2 Cd 0.5000 0.5000 0.2904
Pt1 Pt 0.0000 0.0000 0.5016
Au1 Au 0.5000 0.5000 0.7768
```